A plane-wave DFT calculation with PBE was carried out for crystalline FeReBr2 at its relaxed geometry.

Energy ... -4.522 eV per atom
Fermi-level density of states ... 20.34 states/eV per cell
Crystal system ... cubic

a = 6.6998 Å, b = 6.6998 Å, c = 6.6998 Å
α = 90.00°, β = 90.00°, γ = 90.00°
With the nearest neighbours (Å) after each atom.
Space group F-43m (No. 216)
One atom of each set of equivalent atoms:
Fe1 0.0000 0.0000 0.0000 [4 per cell]  4 Re 2.90, 4 Br 2.90
Re1 0.2500 0.2500 0.2500 [4 per cell]  4 Fe 2.90, 4 Br 2.90
Br1 0.0000 0.0000 0.5000 [4 per cell]  4 Br 2.90, 4 Re 2.90
Br2 0.2500 0.2500 0.7500 [4 per cell]  4 Fe 2.90, 4 Br 2.90

---

A plane-wave DFT calculation with PBE was carried out for crystalline LiZn4Pt2 at its relaxed geometry.

Energy ... -2.921 eV per atom
Fermi-level density of states ... 4.61 states/eV per cell
Crystal system ... tetragonal

a = 4.6165 Å, b = 4.6165 Å, c = 10.6778 Å
α = 90.00°, β = 90.00°, γ = 90.00°
With the nearest neighbours (Å) after each atom.
Space group I4/mmm (No. 139)
One atom of each set of equivalent atoms:
Li1 0.0000 0.0000 0.0000 [2 per cell]  4 Zn 2.31
Zn1 0.0000 0.5000 0.0000 [4 per cell]  2 Li 2.31
Zn2 0.0000 0.5000 0.2500 [4 per cell]  4 Pt 2.65, 2 Zn 2.67
Pt1 0.0000 0.0000 0.3712 [4 per cell]  8 Zn 2.65-2.69, 1 Pt 2.75

---

A plane-wave DFT calculation with PBE was carried out for crystalline BaHfC2 at its relaxed geometry.

Energy ... -6.049 eV per atom
Fermi-level density of states ... 10.55 states/eV per cell
Crystal system ... cubic

a = 6.3882 Å, b = 6.3882 Å, c = 6.3882 Å
α = 90.00°, β = 90.00°, γ = 90.00°
With the nearest neighbours (Å) after each atom.
Space group Fm-3m (No. 225)
One atom of each set of equivalent atoms:
Ba1 0.0000 0.0000 0.0000 [4 per cell]  8 C 2.77
Hf1 0.0000 0.0000 0.5000 [4 per cell]  8 C 2.77
C1 0.2500 0.2500 0.2500 [8 per cell]  4 Hf 2.77, 4 Ba 2.77

---

A plane-wave DFT calculation with PBE was carried out for crystalline Pm4GaSn at its relaxed geometry.

Energy ... -4.679 eV per atom
Fermi-level density of states ... 7.82 states/eV per cell
Crystal system ... tetragonal

a = 5.1729 Å, b = 5.1729 Å, c = 7.3555 Å
α = 90.00°, β = 90.00°, γ = 90.00°
With the nearest neighbours (Å) after each atom.
Space group P4/mmm (No. 123)
One atom of each set of equivalent atoms:
Pm1 0.0000 0.5000 0.2352 [4 per cell]  2 Ga 3.11, 2 Sn 3.24, 1 Pm 3.46
Ga1 0.0000 0.0000 0.0000 [1 per cell]  8 Pm 3.11
Sn1 0.5000 0.5000 0.5000 [1 per cell]  8 Pm 3.24

---

A plane-wave DFT calculation with PBE was carried out for crystalline Ce3Pr2ThN6 at its relaxed geometry.

Energy ... -8.531 eV per atom
Fermi-level density of states ... 16.16 states/eV per cell
Crystal system ... monoclinic

a = 15.7868 Å, b = 3.6214 Å, c = 7.2532 Å
α = 90.00°, β = 103.44°, γ = 90.00°
With the nearest neighbours (Å) after each atom.
Space group C2/m (No. 12)
One atom of each set of equivalent atoms:
Ce1 0.0000 0.0000 0.0000 [2 per cell]  6 N 2.49-2.57
Ce2 0.1679 0.5000 0.3318 [4 per cell]  6 N 2.48-2.56
Pr1 0.1672 0.5000 0.8354 [4 per cell]  6 N 2.63-2.65
Th1 0.0000 0.0000 0.5000 [2 per cell]  6 N 2.55-2.56
N1 0.0047 0.5000 0.2537 [4 per cell]  3 Ce 2.51-2.57, 2 Th 2.56, 1 Pr 2.64
N2 0.1618 0.0000 0.0953 [4 per cell]  3 Ce 2.48-2.49, 3 Pr 2.63
N3 0.1657 0.0000 0.5687 [4 per cell]  3 Ce 2.50-2.56, 1 Th 2.55, 2 Pr 2.65

---

A plane-wave DFT calculation with PBE was carried out for crystalline Ba2ScW at its relaxed geometry.

Energy ... -5.094 eV per atom
Fermi-level density of states ... 3.94 states/eV per cell
Crystal system ... tetragonal

a = 3.7977 Å, b = 3.7977 Å, c = 9.5293 Å
α = 90.00°, β = 90.00°, γ = 90.00°
With the nearest neighbours (Å) after each atom.
Space group P4mm (No. 99)
One atom of each set of equivalent atoms:
Ba1 0.0000 0.0000 0.0000 [1 per cell]  1 Sc 3.29, 4 W 3.55
Ba2 0.5000 0.5000 0.3982 [1 per cell]  1 W 3.42, 4 Sc 3.63, 4 Ba 3.80
Sc1 0.0000 0.0000 0.6552 [1 per cell]  4 W 2.86
W1 0.5000 0.5000 0.7570 [1 per cell]  4 Sc 2.86

---

A plane-wave DFT calculation with PBE was carried out for crystalline TlCo2BiI at its relaxed geometry.

Energy ... -3.315 eV per atom
Fermi-level density of states ... 7.30 states/eV per cell
Crystal system ... tetragonal

a = 4.7270 Å, b = 4.7270 Å, c = 6.4527 Å
α = 90.00°, β = 90.00°, γ = 90.00°
With the nearest neighbours (Å) after each atom.
Space group P4/mmm (No. 123)
One atom of each set of equivalent atoms:
Tl1 0.0000 0.0000 0.0000 [1 per cell]  2 I 3.23, 4 Bi 3.34
Co1 0.0000 0.5000 0.5000 [2 per cell]  2 I 2.36
Bi1 0.5000 0.5000 0.0000 [1 per cell]  4 Tl 3.34
I1 0.0000 0.0000 0.5000 [1 per cell]  4 Co 2.36

---

A plane-wave DFT calculation with PBE was carried out for crystalline PrHo2Hg at its relaxed geometry.

Energy ... -3.793 eV per atom
Fermi-level density of states ... 4.96 states/eV per cell
Crystal system ... tetragonal

a = 3.6524 Å, b = 3.6524 Å, c = 8.8764 Å
α = 90.00°, β = 90.00°, γ = 90.00°
With the nearest neighbours (Å) after each atom.
Space group P4/mmm (No. 123)
One atom of each set of equivalent atoms:
Pr1 0.0000 0.0000 0.0000 [1 per cell]  8 Ho 3.62, 4 Pr 3.65
Ho1 0.5000 0.5000 0.2857 [2 per cell]  4 Hg 3.21
Hg1 0.0000 0.0000 0.5000 [1 per cell]  8 Ho 3.21

---

A plane-wave DFT calculation with PBE was carried out for crystalline YSi3Ir6 at its relaxed geometry.

Energy ... -8.205 eV per atom
Fermi-level density of states ... 6.84 states/eV per cell
Crystal system ... triclinic

a = 5.4907 Å, b = 5.5364 Å, c = 6.6888 Å
α = 91.33°, β = 112.48°, γ = 119.62°
With the nearest neighbours (Å) after each atom.
Space group P1 (No. 1)
One atom of each set of equivalent atoms:
Y1 0.0000 0.0000 0.0000 [1 per cell]  6 Ir 2.89-3.14, 4 Si 2.92-3.21
Si1 0.3129 0.1321 0.4891 [1 per cell]  5 Ir 2.43-2.53
Si2 0.4398 0.6903 0.1218 [1 per cell]  6 Ir 2.36-2.51
Si3 0.7053 0.3640 0.1198 [1 per cell]  6 Ir 2.40-2.46
Ir1 0.2435 0.6689 0.3954 [1 per cell]  3 Si 2.40-2.43
Ir2 0.3733 0.9356 0.8129 [1 per cell]  3 Si 2.41-2.51
Ir3 0.3848 0.4506 0.7917 [1 per cell]  3 Si 2.38-2.46
Ir4 0.7078 0.5654 0.4432 [1 per cell]  3 Si 2.40-2.44
Ir5 0.8174 0.1195 0.4121 [1 per cell]  3 Si 2.36-2.53
Ir6 0.9063 0.4432 0.8445 [1 per cell]  2 Si 2.38-2.43